# Re2AgBRh

A relaxed structure of Re2AgBRh (PBE, Alexandria).

Geometry as POSCAR:
```
Re2AgBRh
1.0
4.134 0.000 0.000
0.000 4.162 0.000
0.000 0.000 4.134
Re Rh B Ag
2 1 1 1
Direct
0.500 0.000 0.000 Re
0.000 0.000 0.500 Re
0.000 0.500 0.000 Rh
0.000 0.000 0.000 B
0.500 0.500 0.500 Ag
```

Values from the calculation:
- Electronic total energy: -39.4 eV/cell
- M_tot: 0.0 μB/f.u.
- ΔH_f (0 K): 466 meV/atom
- Space-group type: P4/mmm, No. 123
- Crystal system: tetragonal